# 1
A plane-wave DFT calculation with PBE was carried out for a relaxed Ho9B4O19 crystal.

Cell: 7.2760 9.2989 12.6311 Å, 79.23 81.65 78.84°
Last column: nearest neighbours and their distance in Å.
Fractional coordinates of all 64 atoms:
O (0.2446, 0.4897, 0.5481)  2 B 1.42
O (0.4709, 0.1182, 0.9127)  4 Ho 2.20-2.34
O (0.0140, 0.1185, 0.9132)  4 Ho 2.20-2.34
O (0.5291, 0.8818, 0.0873)  4 Ho 2.20-2.34
O (0.1872, 0.0347, 0.2255)  1 B 1.41
O (0.1812, 0.7326, 0.5677)  1 B 1.38
O (0.6122, 0.2871, 0.2479)  1 B 1.40
O (0.6477, 0.4963, 0.9109)  4 Ho 2.18-2.32
O (0.0847, 0.0333, 0.5873)  4 Ho 2.19-2.34
O (0.6829, 0.0319, 0.2326)  1 B 1.40
O (0.5526, 0.6072, 0.2327)  4 Ho 2.17-2.34
O (0.9860, 0.8815, 0.0868)  4 Ho 2.20-2.34
O (0.3523, 0.5037, 0.0891)  4 Ho 2.18-2.32
O (0.3878, 0.7129, 0.7521)  1 B 1.40
O (0.7554, 0.5103, 0.4519)  2 B 1.42
O (0.0263, 0.6055, 0.2338)  4 Ho 2.19-2.34
O (0.6818, 0.6998, 0.5673)  1 B 1.38
O (0.6777, 0.2153, 0.0682)  1 B 1.38
O (0.4474, 0.3928, 0.7673)  4 Ho 2.17-2.34
O (0.6061, 0.0254, 0.5833)  4 Ho 2.18-2.41
O (0.3171, 0.9681, 0.7674)  1 B 1.40
O (0.3223, 0.7847, 0.9318)  1 B 1.38
O (0.9153, 0.9667, 0.4127)  4 Ho 2.19-2.34
O (0.2378, 0.6770, 0.3828)  1 B 1.35
O (0.8188, 0.2674, 0.4323)  1 B 1.38
O (0.8234, 0.7732, 0.9299)  1 B 1.37
O (0.8128, 0.9653, 0.7745)  1 B 1.41
O (0.1766, 0.2268, 0.0701)  1 B 1.37
O (0.8515, 0.5029, 0.0860)  4 Ho 2.18-2.28
O (0.9737, 0.3945, 0.7662)  4 Ho 2.19-2.34
O (0.3939, 0.9746, 0.4167)  4 Ho 2.18-2.41
O (0.7154, 0.7576, 0.3697)  1 B 1.36
O (0.3182, 0.3002, 0.4327)  1 B 1.38
O (0.7622, 0.3230, 0.6172)  1 B 1.35
O (0.1485, 0.4971, 0.9140)  4 Ho 2.18-2.28
O (0.8823, 0.7109, 0.7483)  1 B 1.39
O (0.2846, 0.2424, 0.6303)  1 B 1.36
O (0.1177, 0.2891, 0.2517)  1 B 1.39
Ho (0.6256, 0.1045, 0.4026)  6 O 2.23-2.37
Ho (0.4231, 0.3534, 0.9566)  7 O 2.25-2.50
Ho (0.3744, 0.8955, 0.5974)  6 O 2.23-2.37
Ho (0.6874, 0.5153, 0.7346)  3 O 2.18-2.22
Ho (0.2476, 0.9943, 0.0158)  6 O 2.28-2.34
Ho (0.3126, 0.4847, 0.2654)  3 O 2.18-2.22
Ho (0.7524, 0.0057, 0.9842)  6 O 2.28-2.34
Ho (0.5335, 0.1584, 0.7346)  4 O 2.20-2.41
Ho (0.1835, 0.5410, 0.7370)  4 O 2.17-2.43
Ho (0.8165, 0.4590, 0.2630)  4 O 2.17-2.43
Ho (0.4665, 0.8416, 0.2654)  4 O 2.20-2.41
Ho (0.5769, 0.6466, 0.0434)  7 O 2.25-2.50
Ho (0.0213, 0.1600, 0.7353)  4 O 2.20-2.34
Ho (0.9219, 0.3545, 0.9555)  7 O 2.25-2.52
Ho (0.0781, 0.6455, 0.0445)  7 O 2.25-2.52
Ho (0.8817, 0.8853, 0.5925)  5 O 2.18-2.37
Ho (0.9787, 0.8400, 0.2647)  4 O 2.20-2.34
Ho (0.1183, 0.1147, 0.4075)  5 O 2.18-2.37
B (0.1608, 0.1875, 0.1804)  3 O 1.37-1.41
B (0.8392, 0.8125, 0.8196)  3 O 1.37-1.41
B (0.7153, 0.6615, 0.4652)  3 O 1.36-1.42
B (0.3428, 0.8203, 0.8204)  3 O 1.38-1.40
B (0.2847, 0.3385, 0.5348)  3 O 1.36-1.42
B (0.6572, 0.1797, 0.1796)  3 O 1.38-1.40
B (0.2223, 0.6379, 0.4919)  3 O 1.35-1.42
B (0.7777, 0.3621, 0.5081)  3 O 1.35-1.42

Calculated values
calculated volume = 818.4 Å³ per cell
uncorrected formation energy = -3257 meV/atom

---

# 2
A plane-wave DFT calculation with PBE was carried out for a relaxed Ho6BO12 crystal.

Cell: 6.3546 6.3546 6.3546 Å, 99.06 99.06 99.06°
Last column: nearest neighbours and their distance in Å.
Fractional coordinates of all 19 atoms:
Ho (0.3945, 0.6956, 0.8578)  5 O 2.17-2.42
Ho (0.8578, 0.3945, 0.6956)  5 O 2.17-2.42
Ho (0.6956, 0.8578, 0.3945)  5 O 2.17-2.42
Ho (0.6055, 0.3044, 0.1422)  5 O 2.17-2.42
Ho (0.1422, 0.6055, 0.3044)  5 O 2.17-2.42
Ho (0.3044, 0.1422, 0.6055)  5 O 2.17-2.42
O (0.1766, 0.4384, 0.5953)  4 Ho 2.17-2.27
O (0.7324, 0.9361, 0.0306)  1 B 1.73
O (0.4384, 0.5953, 0.1766)  4 Ho 2.17-2.27
O (0.2676, 0.0639, 0.9694)  1 B 1.73
O (0.0306, 0.7324, 0.9361)  1 B 1.73
O (0.4047, 0.8234, 0.5616)  4 Ho 2.17-2.27
O (0.5953, 0.1766, 0.4384)  4 Ho 2.17-2.27
O (0.5616, 0.4047, 0.8234)  4 Ho 2.17-2.27
O (0.9694, 0.2676, 0.0639)  1 B 1.73
O (0.8234, 0.5616, 0.4047)  4 Ho 2.17-2.27
O (0.9361, 0.0306, 0.7324)  1 B 1.73
O (0.0639, 0.9694, 0.2676)  1 B 1.73
B (0.0000, 0.0000, 0.0000)  6 O 1.73

Calculated values
calculated volume = 245.8 Å³ per cell
uncorrected formation energy = -2810 meV/atom

---

# 3
A plane-wave DFT calculation with PBE was carried out for a relaxed Ho3BO6 crystal.

Cell: 5.1422 6.9885 6.9885 Å, 102.90 90.00 90.00°
Last column: nearest neighbours and their distance in Å.
Fractional coordinates of all 20 atoms:
O (0.1516, 0.1164, 0.6057)  1 B 1.53
O (0.7056, 0.3258, 0.3535)  4 Ho 2.16-2.23
O (0.7339, 0.2045, 0.7955)  1 B 1.51
O (0.6516, 0.6057, 0.1164)  1 B 1.53
O (0.2056, 0.3535, 0.3258)  4 Ho 2.16-2.23
O (0.2056, 0.6742, 0.6465)  4 Ho 2.16-2.23
O (0.7056, 0.6465, 0.6742)  4 Ho 2.16-2.23
O (0.6320, 0.9369, 0.0631)  1 B 1.53
O (0.6516, 0.8836, 0.3943)  1 B 1.53
O (0.1516, 0.3943, 0.8836)  1 B 1.53
O (0.2339, 0.7955, 0.2045)  1 B 1.51
O (0.1320, 0.0631, 0.9369)  1 B 1.53
Ho (0.4283, 0.3954, 0.6046)  6 O 2.22-2.42
Ho (0.9283, 0.6046, 0.3954)  6 O 2.22-2.42
Ho (0.9750, 0.7000, 0.9177)  5 O 2.16-2.37
Ho (0.4750, 0.9177, 0.7000)  5 O 2.16-2.37
Ho (0.4750, 0.3000, 0.0823)  5 O 2.16-2.37
Ho (0.9750, 0.0823, 0.3000)  5 O 2.16-2.37
B (0.5268, 0.8064, 0.1936)  4 O 1.51-1.53
B (0.0268, 0.1936, 0.8064)  4 O 1.51-1.53

Calculated values
calculated volume = 244.8 Å³ per cell
uncorrected formation energy = -3304 meV/atom